Material: Al2TlCrCl8
Method: DFT, PBE-GGA
State: relaxed

Properties
The value obtained for the spin magnetization is 5.00 μB per cell. Its total energy is -48.91 eV for the cell shown. The raw formation energy comes out at -118 kJ/mol of atoms. The theoretical density comes out at 2960 kg/m³.

abc: 10.084 10.084 10.084
angles: 37.03 37.03 37.03
Fractional coordinates of all 12 atoms:
Al  0.248  0.248  0.248
Al  0.752  0.752  0.752
Tl  0.000  0.000  0.000
Cr  0.500  0.500  0.500
Cl  0.098  0.776  0.454
Cl  0.224  0.546  0.902
Cl  0.325  0.325  0.325
Cl  0.454  0.098  0.776
Cl  0.546  0.902  0.224
Cl  0.675  0.675  0.675
Cl  0.776  0.454  0.098
Cl  0.902  0.224  0.546